BaTl2Ir: relaxed, PBE.

total magnetization = 0.000 μB per formula unit
energy of formation from the pure elements = 0.202 eV/atom
energy = -3.677 eV/atom
crystal system = cubic

a = 5.3017 Å, b = 5.3017 Å, c = 5.3017 Å
α = 60.00°, β = 60.00°, γ = 60.00°
Closest atoms and distances in Å follow each position.
Fractional positions:
Tl 0.2500 0.2500 0.2500  4 Ir 3.25, 4 Ba 3.25
Tl 0.7500 0.7500 0.7500  4 Ba 3.25, 4 Ir 3.25
Ir 0.5000 0.5000 0.5000  8 Tl 3.25
Ba 0.0000 0.0000 0.0000  8 Tl 3.25